(1)
A plane-wave DFT calculation with PBE was carried out for a relaxed MnCd2Ru crystal.

Unit cell a=9.6186 b=9.6186 c=9.6186 alpha=17.38 beta=17.38 gamma=17.38
Closest atoms and distances in Å follow each position.
Fractional positions:
Cd 0.0009 0.0009 0.0009  3 Ru 2.88, 6 Cd 2.91, 3 Mn 2.92
Cd 0.4991 0.4991 0.4991  3 Ru 2.88, 6 Cd 2.91, 3 Mn 2.92
Mn 0.2500 0.2500 0.2500  6 Mn 2.91, 6 Cd 2.92
Ru 0.7500 0.7500 0.7500  6 Cd 2.88, 6 Ru 2.91

Properties
space-group type: R-3m (166)
DOS at the Fermi energy: 3.25 states/eV/f.u.
final energy: -4.678 eV/atom


(2)
A plane-wave DFT calculation with PBE was carried out for a relaxed Ti2Ga2Ni crystal.

Unit cell a=6.2099 b=6.2099 c=3.9571 alpha=90.00 beta=90.00 gamma=90.00
Closest atoms and distances in Å follow each position.
Fractional positions:
Ni 0.0000 0.0000 0.0000  4 Ga 2.39
Ni 0.5000 0.5000 0.0000  4 Ga 2.39
Ga 0.3577 0.8577 0.0000  2 Ni 2.39, 1 Ga 2.50, 2 Ti 2.60
Ga 0.8577 0.6423 0.0000  2 Ni 2.39, 1 Ga 2.50, 2 Ti 2.60
Ga 0.6423 0.1423 0.0000  2 Ni 2.39, 1 Ga 2.50, 2 Ti 2.60
Ga 0.1423 0.3577 0.0000  2 Ni 2.39, 1 Ga 2.50, 2 Ti 2.60
Ti 0.1665 0.6665 0.5000  6 Ga 2.60-2.76
Ti 0.6665 0.8335 0.5000  6 Ga 2.60-2.76
Ti 0.8335 0.3335 0.5000  6 Ga 2.60-2.76
Ti 0.3335 0.1665 0.5000  6 Ga 2.60-2.76

Properties
space-group type: P4/mbm (127)
DOS at the Fermi energy: 2.00 states/eV/f.u.
final energy: -5.948 eV/atom


(3)
A plane-wave DFT calculation with PBE was carried out for a relaxed Nd3Sm3Dy4 crystal.

Unit cell a=3.7024 b=9.5843 c=9.5843 alpha=90.08 beta=90.00 gamma=90.00
Closest atoms and distances in Å follow each position.
Fractional positions:
Nd 0.5000 0.8257 0.1743  6 Dy 3.31-3.45
Nd 0.5000 0.3251 0.3256  6 Dy 3.30-3.44
Nd 0.5000 0.6744 0.6749  6 Dy 3.30-3.44
Sm 0.0000 0.4983 0.9991  4 Sm 3.70-3.98, 4 Dy 3.78-3.82, 6 Nd 3.99-4.01
Sm 0.0000 0.0009 0.5017  4 Sm 3.70-3.98, 4 Dy 3.78-3.82, 6 Nd 3.99-4.01
Sm 0.5000 0.1745 0.8255  6 Dy 3.30-3.43
Dy 0.0000 0.6238 0.3762  6 Nd 3.31-3.44, 1 Dy 3.37
Dy 0.0000 0.3755 0.6245  2 Sm 3.30, 1 Dy 3.37, 4 Nd 3.44
Dy 0.0000 0.8773 0.8756  4 Nd 3.30-3.45, 1 Dy 3.35, 2 Sm 3.43
Dy 0.0000 0.1244 0.1227  4 Nd 3.30-3.45, 1 Dy 3.35, 2 Sm 3.43

Properties
space-group type: Amm2 (38)
DOS at the Fermi energy: 9.02 states/eV/f.u.
final energy: -4.592 eV/atom


(4)
A plane-wave DFT calculation with PBE was carried out for a relaxed AlCdPb2 crystal.

Unit cell a=3.5053 b=3.5053 c=8.6059 alpha=90.00 beta=90.00 gamma=90.00
Closest atoms and distances in Å follow each position.
Fractional positions:
Pb 0.0000 0.0000 0.0167  4 Al 3.19, 4 Cd 3.38, 4 Pb 3.51
Pb 0.0000 0.0000 0.4833  4 Al 3.19, 4 Cd 3.38, 4 Pb 3.51
Al 0.5000 0.5000 0.2500  8 Pb 3.19, 4 Al 3.51
Cd 0.5000 0.5000 0.7500  8 Pb 3.38, 4 Cd 3.51

Properties
space-group type: P4/mmm (123)
DOS at the Fermi energy: 3.35 states/eV/f.u.
final energy: -2.853 eV/atom


(5)
A plane-wave DFT calculation with PBE was carried out for a relaxed CaTbEr crystal.

Unit cell a=3.6230 b=3.6230 c=8.1798 alpha=102.79 beta=102.79 gamma=90.00
Closest atoms and distances in Å follow each position.
Fractional positions:
Ca 0.0007 0.0007 0.0014  4 Ca 3.62, 4 Er 3.74, 4 Tb 3.77
Tb 0.3230 0.3230 0.6461  4 Er 3.43, 4 Tb 3.62, 4 Ca 3.77
Er 0.6762 0.6762 0.3525  4 Tb 3.43, 4 Er 3.62, 4 Ca 3.74

Properties
space-group type: I4mm (107)
DOS at the Fermi energy: 4.47 states/eV/f.u.
final energy: -3.662 eV/atom


(6)
A plane-wave DFT calculation with PBE was carried out for a relaxed CaY2Ta crystal.

Unit cell a=3.3503 b=4.7081 c=7.3001 alpha=90.00 beta=90.00 gamma=90.00
Closest atoms and distances in Å follow each position.
Fractional positions:
Y 0.0000 0.0000 0.9682  4 Ta 3.18, 1 Ca 3.23, 6 Y 3.35-3.43
Y 0.5000 0.5000 0.2207  1 Ta 3.18, 6 Y 3.35-3.43
Ca 0.0000 0.0000 0.5261  1 Y 3.23, 2 Ca 3.35, 4 Ta 3.45
Ta 0.5000 0.5000 0.7850  5 Y 3.18, 2 Ta 3.35, 4 Ca 3.45

Properties
space-group type: Pmm2 (25)
DOS at the Fermi energy: 5.40 states/eV/f.u.
final energy: -6.234 eV/atom


(7)
A plane-wave DFT calculation with PBE was carried out for a relaxed Y2TiCo2 crystal.

Unit cell a=3.8005 b=5.6459 c=5.6460 alpha=58.83 beta=70.30 gamma=70.30
Closest atoms and distances in Å follow each position.
Fractional positions:
Y 0.2996 0.2007 0.7007  6 Co 2.91-3.11
Y 0.7004 0.7993 0.2993  6 Co 2.91-3.11
Ti 0.5000 0.5000 0.0000  4 Co 2.43
Co 0.0000 0.2254 0.2745  2 Ti 2.43, 1 Co 2.50
Co 0.0000 0.7746 0.7255  2 Ti 2.43, 1 Co 2.50

Properties
space-group type: Immm (71)
DOS at the Fermi energy: 5.55 states/eV/f.u.
final energy: -7.237 eV/atom


(8)
A plane-wave DFT calculation with PBE was carried out for a relaxed Yb crystal.

Unit cell a=3.8275 b=3.8293 c=3.8292 alpha=59.97 beta=60.02 gamma=60.02
Closest atoms and distances in Å follow each position.
Fractional positions:
Yb 0.0000 0.5000 0.5000  12 Yb 3.83

Properties
space-group type: Fm-3m (225)
DOS at the Fermi energy: 0.04 states/eV/f.u.
final energy: -1.526 eV/atom


(9)
A plane-wave DFT calculation with PBE was carried out for a relaxed SbTe4Pb crystal.

Unit cell a=6.3820 b=6.3820 c=6.3820 alpha=60.00 beta=60.00 gamma=60.00
Closest atoms and distances in Å follow each position.
Fractional positions:
Sb 0.0000 0.0000 0.0000  12 Te 3.74, 4 Pb 3.91
Te 0.8759 0.3747 0.3747  6 Te 3.18-3.20
Te 0.3747 0.3747 0.8759  6 Te 3.18-3.20
Te 0.3747 0.8759 0.3747  6 Te 3.18-3.20
Te 0.3747 0.3747 0.3747  6 Te 3.18-3.20
Pb 0.7500 0.7500 0.7500  12 Te 3.74, 4 Sb 3.91

Properties
space-group type: F-43m (216)
uncorrected formation energy: 0.40 eV/atom
DOS at the Fermi energy: 2.24 states/eV/f.u.


(10)
A plane-wave DFT calculation with PBE was carried out for a relaxed LiMg2Zn crystal.

Unit cell a=3.2384 b=3.2390 c=7.1226 alpha=90.00 beta=90.00 gamma=90.00
Closest atoms and distances in Å follow each position.
Fractional positions:
Zn 0.0000 0.0000 0.5266  4 Li 2.66, 4 Mg 2.88
Mg 0.0000 0.0000 0.9752  4 Li 2.94, 8 Mg 3.17-3.24, 1 Zn 3.20
Mg 0.5000 0.5000 0.2824  4 Zn 2.88, 1 Li 3.09, 4 Mg 3.17
Li 0.5000 0.5000 0.7158  4 Zn 2.66, 4 Mg 2.94

Properties
space-group type: P4mm (99)
DOS at the Fermi energy: 1.24 states/eV/f.u.
final energy: -1.691 eV/atom


(11)
A plane-wave DFT calculation with PBE was carried out for a relaxed K2ZrPO6 crystal.

Unit cell a=5.2849 b=6.1796 c=6.1796 alpha=120.00 beta=90.00 gamma=90.00
Closest atoms and distances in Å follow each position.
Fractional positions:
K 0.1119 0.3333 0.6667  3 O 2.71
K 0.8881 0.6667 0.3333  3 O 2.71
Zr 0.5000 0.0000 0.0000  6 O 2.13
P 0.0000 0.0000 0.0000  6 O 1.74
O 0.8041 0.1306 0.2612  1 P 1.74
O 0.8041 0.1306 0.8694  1 P 1.74
O 0.8041 0.7388 0.8694  1 P 1.74
O 0.1959 0.8694 0.1306  1 P 1.74
O 0.1959 0.2612 0.1306  1 P 1.74
O 0.1959 0.8694 0.7388  1 P 1.74

Properties
space-group type: P-3m1 (164)
uncorrected formation energy: -2.02 eV/atom
DOS at the Fermi energy: 0.85 states/eV/f.u.


(12)
A plane-wave DFT calculation with PBE was carried out for a relaxed HfP2O2 crystal.

Unit cell a=3.9274 b=3.9274 c=5.7501 alpha=90.00 beta=90.00 gamma=90.00
Closest atoms and distances in Å follow each position.
Fractional positions:
P 0.5000 0.5000 0.5000  4 P 2.78
P 0.0000 0.0000 0.5000  4 P 2.78, 2 Hf 2.88
Hf 0.0000 0.0000 0.0000  4 O 1.96
O 0.0000 0.5000 0.0000  2 Hf 1.96
O 0.5000 0.0000 0.0000  2 Hf 1.96

Properties
space-group type: P4/mmm (123)
uncorrected formation energy: -1.06 eV/atom
DOS at the Fermi energy: 2.21 states/eV/f.u.


(13)
A plane-wave DFT calculation with PBE was carried out for a relaxed Na2PmAgCl6 crystal.

Unit cell a=7.0622 b=7.0646 c=7.5198 alpha=61.96 beta=62.01 gamma=59.95
Closest atoms and distances in Å follow each position.
Fractional positions:
Na 0.5221 0.5218 0.4341  6 Cl 2.80-2.94
Na 0.0157 0.0156 0.9534  6 Cl 2.81-2.88
Pm 0.3211 0.3212 0.0366  6 Cl 2.71-2.76
Ag 0.8097 0.8102 0.5702  6 Cl 2.71-2.97
Cl 0.5980 0.2138 0.2516  1 Pm 2.71, 2 Na 2.80-2.88, 1 Ag 2.96
Cl 0.2143 0.9367 0.2511  1 Pm 2.71, 2 Na 2.80-2.88, 1 Ag 2.97
Cl 0.9367 0.5978 0.2513  1 Pm 2.71, 2 Na 2.80-2.88, 1 Ag 2.97
Cl 0.4216 0.7112 0.7556  1 Ag 2.71, 1 Pm 2.76, 2 Na 2.81-2.94
Cl 0.7113 0.1114 0.7557  1 Ag 2.71, 1 Pm 2.76, 2 Na 2.81-2.93
Cl 0.1111 0.4219 0.7555  1 Ag 2.71, 1 Pm 2.76, 2 Na 2.81-2.94

Properties
space-group type: P1 (1)
uncorrected formation energy: -1.71 eV/atom
DOS at the Fermi energy: 0.00 states/eV/f.u.


(14)
A plane-wave DFT calculation with PBE was carried out for a relaxed Tm4AgPt2 crystal.

Unit cell a=4.5492 b=4.5492 c=10.1869 alpha=77.10 beta=77.10 gamma=60.00
Closest atoms and distances in Å follow each position.
Fractional positions:
Tm 0.3868 0.3868 0.8395  3 Pt 2.94, 3 Ag 3.06
Tm 0.2016 0.2016 0.3952  4 Pt 2.81-3.06
Tm 0.7984 0.7984 0.6048  4 Pt 2.81-3.06
Tm 0.6132 0.6132 0.1605  3 Pt 2.94, 3 Ag 3.06
Ag 0.0000 0.0000 0.0000  2 Pt 2.90, 6 Tm 3.06
Pt 0.0981 0.0981 0.7058  7 Tm 2.81-3.06, 1 Ag 2.90
Pt 0.9019 0.9019 0.2942  7 Tm 2.81-3.06, 1 Ag 2.90

Properties
space-group type: R-3m (166)
DOS at the Fermi energy: 4.63 states/eV/f.u.
final energy: -5.497 eV/atom


(15)
A plane-wave DFT calculation with PBE was carried out for a relaxed Rb2DyHoTe4 crystal.

Unit cell a=4.5188 b=7.8250 c=8.9414 alpha=106.95 beta=90.00 gamma=90.00
Closest atoms and distances in Å follow each position.
Fractional positions:
Rb 0.5000 0.0000 0.5000  6 Te 3.66
Rb 0.0000 0.5000 0.5000  6 Te 3.67
Dy 0.5000 0.5000 0.0000  6 Te 3.12
Ho 0.0000 0.0000 0.0000  6 Te 3.11
Te 0.5000 0.2319 0.1985  2 Ho 3.11, 1 Dy 3.12
Te 0.5000 0.7681 0.8015  2 Ho 3.11, 1 Dy 3.12
Te 0.0000 0.2663 0.8011  1 Ho 3.11, 2 Dy 3.12
Te 0.0000 0.7337 0.1989  1 Ho 3.11, 2 Dy 3.12

Properties
space-group type: P2/m (10)
uncorrected formation energy: -1.38 eV/atom